## SiBPN4 (GGA-PBE)

Data for crystalline SiBPN4 at its relaxed geometry.

Properties
D(E_F) in states/eV/atom: 0.000
Total magnetic moment in μB per formula unit: 0.0
E above lowest polymorph in eV/atom: 0.4647
Uncorrected formation energy in eV per formula unit: -2.550
Raw total energy in Ry per atom: -0.5603

Lattice parameters (Å, degrees): 4.777 5.167 5.625 107.74 96.28 90.07
Atoms (fractional coordinates):
Si  0.000  0.000  0.000
Si  0.380  0.914  0.371
B  0.117  0.376  0.663
B  0.381  0.367  0.366
P  0.656  0.350  0.879
P  0.911  0.654  0.440
N  0.027  0.834  0.277
N  0.052  0.356  0.354
N  0.052  0.696  0.736
N  0.413  0.087  0.142
N  0.422  0.250  0.600
N  0.557  0.631  0.396
N  0.621  0.065  0.975
N  0.972  0.230  0.803